DFT (PBEsol) results for CoOsW2 after structural relaxation.

Geometry as POSCAR:
```
CoOsW2
1.0
3.847 0.000 0.000
0.000 3.847 0.000
-1.924 -1.924 3.747
Os Co W
1 1 2
Cartesian
0.000 0.000 0.000 Os
1.924 1.924 0.000 Co
0.000 1.924 1.874 W
1.924 0.000 1.874 W
```

Results
Formation enthalpy at 0 K in eV/atom: 0.039
Distance to the lowest polymorph of the same formula in kJ per mole of atoms: 0.0
SG: I4/mmm
Theoretical density in g/cm³: 18.5

DFT (PBEsol) results for CoOsW after structural relaxation.

Geometry as POSCAR:
```
CoOsW
1.0
2.674 0.000 0.000
0.000 3.754 0.000
-1.337 -1.877 4.006
Co Os W
1 1 1
Cartesian
0.000 0.000 0.027 Co
1.337 1.877 1.292 Os
0.000 0.000 2.687 W
```

Results
Formation enthalpy at 0 K in eV/atom: 0.117
Distance to the lowest polymorph of the same formula in kJ per mole of atoms: 0.0
SG: Imm2
Theoretical density in g/cm³: 17.9

DFT (PBEsol) results for Co2OsW after structural relaxation.

Geometry as POSCAR:
```
Co2OsW
1.0
-0.678 1.586 -3.234
-3.267 1.114 1.231
1.520 3.118 1.210
Co Os W
2 1 1
Cartesian
-1.633 0.557 0.616 Co
-0.339 0.793 -1.617 Co
-1.213 2.909 -0.396 Os
0.760 1.559 0.605 W
```

Results
Formation enthalpy at 0 K in eV/atom: -0.025
Distance to the lowest polymorph of the same formula in kJ per mole of atoms: 0.0
SG: P4/mmm
Theoretical density in g/cm³: 16.6

How do the records compare in density of states at the Fermi level? In the order shown, they have 0.850; 1.233; 0.981 states/eV per atom.